Record 1
Below is a relaxed PmHoMgTc crystal, with properties calculated at the PBE-GGA level.

Summary:
Energy in eV for the cell shown: -21.2
Calculated formation energy in meV/atom: 30
Space group: F-43m, No. 216

Unit cell a=5.0832 b=5.0832 c=5.0832 alpha=60.00 beta=60.00 gamma=60.00
Element x y z (fractional)
1 Pm 0.0000 0.0000 0.0000
2 Ho 0.5000 0.5000 0.5000
3 Mg 0.7500 0.7500 0.7500
4 Tc 0.2500 0.2500 0.2500

***

Record 2
Below is a relaxed Pm3Ho3MgTe8 crystal, with properties calculated at the PBE-GGA level.

Summary:
Energy in eV for the cell shown: -74.3
Space group: R-3m, No. 166
Uncorrected formation energy in eV per atom: -1.31

Unit cell a=8.8117 b=8.8117 c=8.8117 alpha=59.46 beta=59.46 gamma=59.46
Element x y z (fractional)
1 Pm 0.0000 0.5000 0.5000
2 Pm 0.5000 0.0000 0.5000
3 Pm 0.5000 0.5000 0.0000
4 Ho 0.0000 0.0000 0.5000
5 Ho 0.0000 0.5000 0.0000
6 Ho 0.5000 0.0000 0.0000
7 Mg 0.5000 0.5000 0.5000
8 Te 0.2466 0.2466 0.2466
9 Te 0.2481 0.7450 0.7450
10 Te 0.2550 0.2550 0.7519
11 Te 0.2550 0.7519 0.2550
12 Te 0.7450 0.2481 0.7450
13 Te 0.7450 0.7450 0.2481
14 Te 0.7519 0.2550 0.2550
15 Te 0.7534 0.7534 0.7534

***

Record 3
Below is a relaxed PmHoThMg crystal, with properties calculated at the PBE-GGA level.

Summary:
Energy in eV for the cell shown: -18.5
Calculated formation energy in meV/atom: -45
Space group: P4mm, No. 99

Unit cell a=3.6046 b=3.6046 c=9.2738 alpha=90.00 beta=90.00 gamma=90.00
Element x y z (fractional)
1 Pm 0.0000 0.0000 0.0000
2 Ho 0.0000 0.0000 0.4809
3 Th 0.5000 0.5000 0.7364
4 Mg 0.5000 0.5000 0.2482